Record 1
Computed, not measured: a geometry-optimized SmInHg6 structure at the PBE level of DFT.

Values from the calculation:
Uncorrected energy, eV/f.u.: -9.7
Space group: R-3m, No. 166
E above lowest polymorph, meV per atom: 114.3
Formation energy from the elements, eV/atom: -0.054
Total magnetic moment, μB/f.u.: 0.00
DOS(E_F), states/eV/atom: 0.609

Cell lengths 8.4492, 8.4492, 6.1641 Å; angles 46.74, 46.74, 60.00 degrees
Positions (direct):
Sm  0.0000  0.0000  0.0000
In  0.5000  0.5000  0.5000
Hg  0.1600  0.1600  0.1531
Hg  0.1600  0.5270  0.1531
Hg  0.4730  0.8400  0.8469
Hg  0.8400  0.4730  0.8469
Hg  0.8400  0.8400  0.8469
Hg  0.5270  0.1600  0.1531

***

Record 2
Computed, not measured: a geometry-optimized Sm12In6Hg structure at the PBE level of DFT.

Values from the calculation:
Uncorrected energy, eV/f.u.: -76.1
Space group: R-3, No. 148
Formation energy from the elements, eV/atom: -0.145
Total magnetic moment, μB/f.u.: 0.00
DOS(E_F), states/eV/atom: 1.219

Cell lengths 8.9392, 8.9392, 8.9392 Å; angles 106.92, 106.92, 106.92 degrees
Positions (direct):
Sm  0.9348  0.6751  0.5790
Sm  0.5790  0.9348  0.6751
Sm  0.6751  0.5790  0.9348
Sm  0.0652  0.3249  0.4210
Sm  0.4210  0.0652  0.3249
Sm  0.3249  0.4210  0.0652
Sm  0.0373  0.8979  0.3334
Sm  0.1021  0.6666  0.9627
Sm  0.6666  0.9627  0.1021
Sm  0.9627  0.1021  0.6666
Sm  0.8979  0.3334  0.0373
Sm  0.3334  0.0373  0.8979
In  0.6475  0.7633  0.3428
In  0.6572  0.3525  0.2367
In  0.2367  0.6572  0.3525
In  0.3525  0.2367  0.6572
In  0.3428  0.6475  0.7633
In  0.7633  0.3428  0.6475
Hg  0.0000  0.0000  0.0000